[1]
The following is a PBE calculation of an optimized crystal structure of In2CoBr, from the Alexandria database.

Cell: 5.7889 5.7889 5.7889 Å, 135.32 135.32 65.04°
Fractional coordinates of all 4 atoms:
Co (0.7500, 0.2500, 0.5000)
In (0.0000, 0.0000, 0.0000)
In (0.5000, 0.5000, 0.0000)
Br (0.2500, 0.7500, 0.5000)

Summary:
The total energy is -3.124 eV/atom. The calculation puts the volume at 23.64 Å³/atom. Its total moment is 2.02 μB per formula unit.

---

[2]
The following is a PBE calculation of an optimized crystal structure of InCoBr2, from the Alexandria database.

Cell: 8.9129 8.9129 8.9129 Å, 23.89 23.89 23.89°
Fractional coordinates of all 4 atoms:
Co (0.2500, 0.2500, 0.2500)
Br (0.5270, 0.5270, 0.5270)
Br (0.9730, 0.9730, 0.9730)
In (0.7500, 0.7500, 0.7500)

Summary:
The total energy is -3.448 eV/atom. The calculation puts the volume at 25.51 Å³/atom. Its total moment is 2.13 μB per formula unit.

---

What is the formula in the second record?
InCoBr2

---

total energy of number 1 (In2CoBr)?
-3.124 eV/atom

---

Which of these has the lowest total moment?
In2CoBr